SrGdCuTe3 | PBE-GGA | optimized geometry

The structure belongs to space group P2_1/m (No. 11); the cell edges are 8.5708, 4.3445 and 10.4736 Å and the angles 90.00°, 104.58° and 90.00°. The asymmetric unit holds Sr at (0.2281, 0.2500, 0.2947), Gd at (0.3113, 0.7500, 0.8392), Cu at (0.0755, 0.2500, 0.5876), Te at (0.0612, 0.2500, 0.8400), Te at (0.2440, 0.7500, 0.5389) and Te at (0.4256, 0.7500, 0.1497).

The total energy comes out at -4.44 eV per atom. For the calculated volume, the calculation gives 31.5 Å³/atom. The value obtained for the total magnetic moment is 0.00 μB per cell.